# 1
DFT (GGA-PBE) results for an optimized crystal structure of Li2Pr4N.

Geometry as CIF:
```
data_Li2Pr4N
_chemical_formula_sum 'Li2 Pr4 N1'
_symmetry_space_group_name_H-M 'P 1'
_symmetry_Int_Tables_number 1
_cell_length_a 8.3455
_cell_length_b 8.3455
_cell_length_c 8.3455
_cell_angle_alpha 144.13
_cell_angle_beta 144.13
_cell_angle_gamma 51.63
loop_
_symmetry_equiv_pos_as_xyz
'x,y,z'
loop_
_atom_site_label
_atom_site_type_symbol
_atom_site_fract_x
_atom_site_fract_y
_atom_site_fract_z
Li1 Li 0.1317 0.1317 0.0000
Li2 Li 0.8683 0.8683 0.0000
Pr1 Pr 0.0000 0.5000 0.5000
Pr2 Pr 0.3359 0.3359 0.0000
Pr3 Pr 0.5000 0.0000 0.5000
Pr4 Pr 0.6641 0.6641 0.0000
N1 N 0.5000 0.5000 0.0000
```

Magnetization = 0.000 μB per formula unit
Calculated density = 4.9 g/cm³
V = 28.35 A^3/atom
DOS(E_F) = 7.7 states/eV/f.u.

# 2
DFT (GGA-PBE) results for an optimized crystal structure of Li2PrSN.

Geometry as CIF:
```
data_Li2PrSN
_chemical_formula_sum 'Li4 Pr2 S2 N2'
_symmetry_space_group_name_H-M 'P 1'
_symmetry_Int_Tables_number 1
_cell_length_a 6.3652
_cell_length_b 6.3652
_cell_length_c 6.3652
_cell_angle_alpha 125.47
_cell_angle_beta 125.47
_cell_angle_gamma 80.76
loop_
_symmetry_equiv_pos_as_xyz
'x,y,z'
loop_
_atom_site_label
_atom_site_type_symbol
_atom_site_fract_x
_atom_site_fract_y
_atom_site_fract_z
Li1 Li 0.1814 0.6814 0.8629
Li2 Li 0.3186 0.1814 0.5000
Li3 Li 0.6814 0.8186 0.5000
Li4 Li 0.8186 0.3186 0.1371
Pr1 Pr 0.2502 0.2502 0.0000
Pr2 Pr 0.7502 0.7502 0.0000
S1 S 0.2522 0.7522 0.5000
S2 S 0.7522 0.2522 0.5000
N1 N 0.0011 0.0011 0.0000
N2 N 0.5011 0.5011 0.0000
```

Magnetization = 0.000 μB per formula unit
Calculated density = 4.0 g/cm³
V = 16.49 A^3/atom
DOS(E_F) = 1.4 states/eV/f.u.

# 3
DFT (GGA-PBE) results for an optimized crystal structure of LiPr2SbN.

Geometry as CIF:
```
data_LiPr2SbN
_chemical_formula_sum 'Li1 Pr2 Sb1 N1'
_symmetry_space_group_name_H-M 'P 1'
_symmetry_Int_Tables_number 1
_cell_length_a 5.0636
_cell_length_b 5.0636
_cell_length_c 4.3764
_cell_angle_alpha 90.00
_cell_angle_beta 90.00
_cell_angle_gamma 90.00
loop_
_symmetry_equiv_pos_as_xyz
'x,y,z'
loop_
_atom_site_label
_atom_site_type_symbol
_atom_site_fract_x
_atom_site_fract_y
_atom_site_fract_z
Li1 Li 0.0000 0.0000 0.0000
Pr1 Pr 0.0000 0.5000 0.5000
Pr2 Pr 0.5000 0.0000 0.5000
Sb1 Sb 0.5000 0.5000 0.0000
N1 N 0.0000 0.0000 0.5000
```

Magnetization = 0.000 μB per formula unit
Calculated density = 6.3 g/cm³
V = 22.44 A^3/atom
DOS(E_F) = 1.7 states/eV/f.u.

| no. | E_form (uncorrected) (eV/atom) |
| --- | --- |
| 1 | -0.19 |
| 2 | -1.11 |
| 3 | -0.98 |